Record 1
The following is a DFT calculation (SCAN) of a crystal of Hg2RuBr relaxed with PBEsol.

Theoretical density ... 11.89 g/cm³
Excess energy over the best structure of this formula in the dataset ... 0.0073 eV/atom
ΔE_f (raw) ... 478 meV/atom
D(E_F) ... 2.52 states/eV/f.u.

```
Hg2RuBr
1.0
3.1834 0.0000 0.0000
0.0000 3.1834 0.0000
0.0000 0.0000 8.0257
Hg Ru Br
2 1 1
Cartesian
0.0000 0.0000 1.6902
0.0000 0.0000 6.3355
1.5917 1.5917 0.0000
1.5917 1.5917 4.0128
```

---

Record 2
The following is a DFT calculation (SCAN) of a crystal of Hg2RuBr relaxed with PBEsol.

Theoretical density ... 11.68 g/cm³
Excess energy over the best structure of this formula in the dataset ... 0.0000 eV/atom
ΔE_f (raw) ... 471 meV/atom
D(E_F) ... 2.25 states/eV/f.u.

```
Hg2RuBr
1.0
2.9766 0.0000 0.0000
0.0000 5.4934 0.0000
0.0000 0.0000 10.1239
Hg Ru Br
4 2 2
Cartesian
0.0000 0.0000 0.0000
0.0000 2.7467 2.7492
1.4883 0.0000 2.7492
1.4883 2.7467 0.0000
0.0000 0.0000 5.0616
1.4883 2.7467 5.0616
0.0000 2.7467 6.9680
1.4883 0.0000 6.9680
```

---

Record 3
The following is a DFT calculation (SCAN) of a crystal of HgRuBr relaxed with PBEsol.

Theoretical density ... 8.76 g/cm³
Excess energy over the best structure of this formula in the dataset ... 0.5067 eV/atom
ΔE_f (raw) ... 1148 meV/atom
D(E_F) ... 1.64 states/eV/f.u.

```
HgRuBr
1.0
6.6128 0.0000 0.0000
0.0000 6.6128 0.0000
0.0000 0.0000 6.6128
Hg Ru Br
4 4 4
Cartesian
0.0000 0.0000 0.0000
0.0000 3.3064 3.3064
3.3064 0.0000 3.3064
3.3064 3.3064 0.0000
1.6532 1.6532 1.6532
1.6532 4.9596 4.9596
4.9596 1.6532 4.9596
4.9596 4.9596 1.6532
1.6532 1.6532 4.9596
1.6532 4.9596 1.6532
4.9596 1.6532 1.6532
4.9596 4.9596 4.9596
```

---

Record 4
The following is a DFT calculation (SCAN) of a crystal of HgRu3Br relaxed with PBEsol.

Theoretical density ... 10.73 g/cm³
ΔE_f (raw) ... 1572 meV/atom
D(E_F) ... 4.83 states/eV/f.u.

```
HgRu3Br
1.0
4.4872 0.0000 0.0000
0.0000 4.4872 0.0000
0.0000 0.0000 4.4872
Hg Ru Br
1 3 1
Cartesian
0.0000 0.0000 0.0000
0.0000 2.2436 2.2436
2.2436 0.0000 2.2436
2.2436 2.2436 0.0000
2.2436 2.2436 2.2436
```

---

Record 5
The following is a DFT calculation (SCAN) of a crystal of Hg2RuBr relaxed with PBEsol.

Theoretical density ... 12.12 g/cm³
Excess energy over the best structure of this formula in the dataset ... 0.4760 eV/atom
ΔE_f (raw) ... 947 meV/atom
D(E_F) ... 2.81 states/eV/f.u.

```
Hg2RuBr
1.0
6.8329 0.0000 0.0000
0.0000 6.8329 0.0000
0.0000 0.0000 6.8329
Hg Ru Br
8 4 4
Cartesian
1.7082 1.7082 1.7082
1.7082 1.7082 5.1247
1.7082 5.1247 1.7082
1.7082 5.1247 5.1247
5.1247 1.7082 1.7082
5.1247 1.7082 5.1247
5.1247 5.1247 1.7082
5.1247 5.1247 5.1247
0.0000 0.0000 0.0000
0.0000 3.4164 3.4164
3.4164 0.0000 3.4164
3.4164 3.4164 0.0000
0.0000 0.0000 3.4164
0.0000 3.4164 0.0000
3.4164 0.0000 0.0000
3.4164 3.4164 3.4164
```

---

Record 6
The following is a DFT calculation (SCAN) of a crystal of HgRuBr3 relaxed with PBEsol.

Theoretical density ... 5.76 g/cm³
ΔE_f (raw) ... 648 meV/atom
D(E_F) ... 5.46 states/eV/f.u.

```
HgRuBr3
1.0
5.3846 0.0000 0.0000
0.0000 5.3846 0.0000
0.0000 0.0000 5.3846
Hg Ru Br
1 1 3
Cartesian
0.0000 0.0000 0.0000
2.6923 2.6923 2.6923
0.0000 0.0000 2.6923
0.0000 2.6923 0.0000
2.6923 0.0000 0.0000
```

---

Record 7
The following is a DFT calculation (SCAN) of a crystal of Hg2RuBr relaxed with PBEsol.

Theoretical density ... 12.67 g/cm³
Excess energy over the best structure of this formula in the dataset ... 0.2634 eV/atom
ΔE_f (raw) ... 734 meV/atom
D(E_F) ... 1.43 states/eV/f.u.

```
Hg2RuBr
1.0
3.9884 0.0000 0.0000
0.0000 3.9884 0.0000
0.0000 0.0000 9.5919
Hg Ru Br
4 2 2
Cartesian
0.0000 1.9942 2.3980
0.0000 1.9942 7.1939
1.9942 0.0000 2.3980
1.9942 0.0000 7.1939
0.0000 0.0000 0.0000
1.9942 1.9942 4.7960
0.0000 0.0000 4.7960
1.9942 1.9942 0.0000
```

---

Record 8
The following is a DFT calculation (SCAN) of a crystal of HgRu2Br relaxed with PBEsol.

Theoretical density ... 11.81 g/cm³
Excess energy over the best structure of this formula in the dataset ... 0.0000 eV/atom
ΔE_f (raw) ... 1045 meV/atom
D(E_F) ... 2.99 states/eV/f.u.

```
HgRu2Br
1.0
2.9121 0.0000 0.0000
0.0000 4.5575 0.0000
0.0000 0.0000 5.1132
Hg Ru Br
1 2 1
Cartesian
0.0000 0.0000 0.0000
0.0000 2.2787 2.5566
1.4560 2.2787 0.0000
1.4560 0.0000 2.5566
```